Record 1
! TiBiPd3, single point on PBEsol structure, DFT meta-GGA SCAN; values from VASP
&SYSTEM
  ibrav = 0, nat = 5, ntyp = 3
/
ATOMIC_SPECIES
Bi 208.98 Bi.upf
Pd 106.42 Pd.upf
Ti 47.87 Ti.upf
ATOMIC_POSITIONS angstrom
Bi 0.000 0.000 0.000
Pd 0.000 2.459 0.000
Pd 0.000 0.000 2.459
Pd 2.459 0.000 0.000
Ti 2.459 2.459 2.459
CELL_PARAMETERS angstrom
4.919 0.000 0.000
0.000 4.919 0.000
0.000 0.000 4.919
! E_form   0.72 eV per atom
! Total magnetic moment   2.2 Bohr magnetons per cell
! Volume   23.8 Å³ per atom
! Total DFT energy (no corrections)   -37.862 eV/atom

Record 2
! HgSe2N, single point on PBEsol structure, DFT meta-GGA SCAN; values from VASP
&SYSTEM
  ibrav = 0, nat = 8, ntyp = 3
/
ATOMIC_SPECIES
Hg 200.59 Hg.upf
Se 78.96 Se.upf
N 14.01 N.upf
ATOMIC_POSITIONS angstrom
Hg 0.000 2.673 2.941
Hg 0.000 0.000 0.000
Se 1.906 4.009 1.471
Se 3.439 1.336 1.471
Se -1.336 -0.767 4.412
Se 1.336 0.767 4.412
N 2.673 0.000 2.941
N 2.673 2.673 0.000
CELL_PARAMETERS angstrom
5.345 0.000 0.000
0.000 5.345 0.000
-2.673 -2.673 5.882
! Total magnetic moment   0.0 Bohr magnetons per cell
! Formation energy without anion corrections   0.770 eV per atom
! Excess energy over the best structure of this formula in the dataset   0 meV/atom
! Volume   21.0 Å³ per atom
! Total DFT energy (no corrections)   -28.633 eV/atom

Record 3
! TlSiAu2, single point on PBEsol structure, DFT meta-GGA SCAN; values from VASP
&SYSTEM
  ibrav = 0, nat = 4, ntyp = 3
/
ATOMIC_SPECIES
Au 196.97 Au.upf
Si 28.09 Si.upf
Tl 204.38 Tl.upf
ATOMIC_POSITIONS angstrom
Au 0.000 0.000 2.335
Au 0.000 0.000 5.354
Si 1.535 1.619 3.844
Tl 1.535 1.619 0.000
CELL_PARAMETERS angstrom
3.159 0.080 0.000
-0.089 3.158 0.000
0.000 0.000 7.688
! Total magnetic moment   0.0 Bohr magnetons per cell
! Formation energy without anion corrections   0.174 eV per atom
! Excess energy over the best structure of this formula in the dataset   187 meV/atom
! Volume   19.2 Å³ per atom
! Total DFT energy (no corrections)   -54.998 eV/atom

Record 4
! HoHO2, single point on PBEsol structure, DFT meta-GGA SCAN; values from VASP
&SYSTEM
  ibrav = 0, nat = 8, ntyp = 3
/
ATOMIC_SPECIES
H 1.01 H.upf
Ho 164.93 Ho.upf
O 16.00 O.upf
ATOMIC_POSITIONS angstrom
H 1.723 0.938 5.193
H 0.000 3.833 2.503
Ho 0.000 3.458 5.293
Ho 1.723 1.313 2.603
O 1.723 0.090 4.600
O 0.000 2.490 3.329
O 0.000 4.681 1.910
O 1.723 2.281 0.639
CELL_PARAMETERS angstrom
3.447 0.000 0.000
0.000 4.771 0.000
0.000 0.000 5.380
! Total magnetic moment   0.0 Bohr magnetons per cell
! Volume   11.1 Å³ per atom
! Total DFT energy (no corrections)   -19.099 eV/atom

Record 5
! Be3NiIr, single point on PBEsol structure, DFT meta-GGA SCAN; values from VASP
&SYSTEM
  ibrav = 0, nat = 5, ntyp = 3
/
ATOMIC_SPECIES
Ni 58.69 Ni.upf
Ir 192.22 Ir.upf
Be 9.01 Be.upf
ATOMIC_POSITIONS angstrom
Ni 0.000 0.000 0.000
Ir 1.888 1.888 1.888
Be 0.000 1.888 0.000
Be 0.000 0.000 1.888
Be 1.888 0.000 0.000
CELL_PARAMETERS angstrom
3.777 0.000 0.000
0.000 3.777 0.000
0.000 0.000 3.777
! E_form   0.37 eV per atom
! Total magnetic moment   0.0 Bohr magnetons per cell
! Volume   10.8 Å³ per atom
! Total DFT energy (no corrections)   -19.693 eV/atom

Record 6
! CrAgOs2, single point on PBEsol structure, DFT meta-GGA SCAN; values from VASP
&SYSTEM
  ibrav = 0, nat = 4, ntyp = 3
/
ATOMIC_SPECIES
Ag 107.87 Ag.upf
Cr 52.00 Cr.upf
Os 190.23 Os.upf
ATOMIC_POSITIONS angstrom
Ag -1.658 -1.834 4.087
Cr -0.862 -1.031 -0.342
Os -0.359 -0.362 1.996
Os -1.234 -1.244 6.861
CELL_PARAMETERS angstrom
-2.575 0.416 -0.388
0.851 -2.478 -0.296
-1.593 -1.606 8.857
! E_form   0.45 eV per atom
! Total magnetic moment   0.0 Bohr magnetons per cell
! Excess energy over the best structure of this formula in the dataset   178 meV/atom
! Volume   14.2 Å³ per atom
! Total DFT energy (no corrections)   -47.924 eV/atom

Record 7
! CoNiSb2, single point on PBEsol structure, DFT meta-GGA SCAN; values from VASP
&SYSTEM
  ibrav = 0, nat = 4, ntyp = 3
/
ATOMIC_SPECIES
Sb 121.76 Sb.upf
Co 58.93 Co.upf
Ni 58.69 Ni.upf
ATOMIC_POSITIONS angstrom
Sb 0.000 0.000 4.764
Sb 1.792 1.792 1.645
Co 0.000 0.000 2.249
Ni 1.792 1.792 4.154
CELL_PARAMETERS angstrom
3.584 0.000 0.000
0.000 3.584 0.000
0.000 0.000 5.125
! Total magnetic moment   0.0 Bohr magnetons per cell
! Formation energy without anion corrections   0.144 eV per atom
! Volume   16.5 Å³ per atom
! Total DFT energy (no corrections)   -26.856 eV/atom

Record 8
! K3Cu2F7, single point on PBEsol structure, DFT meta-GGA SCAN; values from VASP
&SYSTEM
  ibrav = 0, nat = 12, ntyp = 3
/
ATOMIC_SPECIES
K 39.10 K.upf
Cu 63.55 Cu.upf
F 19.00 F.upf
ATOMIC_POSITIONS angstrom
K -4.470 -0.337 1.589
K -3.690 0.021 5.441
K -2.324 -0.350 -1.575
Cu -7.046 -0.323 5.386
Cu -1.115 0.006 1.644
F -2.116 -1.572 0.930
F -2.400 1.235 0.726
F -6.045 1.256 6.100
F -5.761 -1.551 6.303
F 0.000 0.000 0.000
F -5.926 -0.329 3.735
F -2.235 0.013 3.295
CELL_PARAMETERS angstrom
-2.608 2.458 -1.779
-2.040 -3.157 -1.371
-3.513 0.383 10.180
! Total magnetic moment   0.0 Bohr magnetons per cell
! Formation energy without anion corrections   -2.402 eV per atom
! Volume   13.9 Å³ per atom
! Total DFT energy (no corrections)   -9.082 eV/atom

Question: Number 2 is which compound?
Answer: HgSe2N